[1]
Nd2Y3PuTe6 | PBE-GGA | optimized geometry

Its uncorrected formation energy is -15.954 eV/f.u.

CIF file:
```
data_Nd2Y3PuTe6
_cell_length_a 19.305
_cell_length_b 4.394
_cell_length_c 8.895
_cell_angle_alpha 90.00
_cell_angle_beta 103.74
_cell_angle_gamma 90.00
_space_group_name_H-M_alt 'C 1 2/m 1'
_space_group_IT_number 12
loop_
_space_group_symop_operation_xyz
'x,y,z'
'-x,-y,-z'
'-x,y,-z'
'x,-y,z'
'x+1/2,y+1/2,z'
'-x+1/2,-y+1/2,-z'
'-x+1/2,y+1/2,-z'
'x+1/2,-y+1/2,z'
loop_
_atom_site_label
_atom_site_type_symbol
_atom_site_fract_x
_atom_site_fract_y
_atom_site_fract_z
Nd1 Nd 0.167 0.000 0.333
Y1 Y 0.000 0.500 0.500
Y2 Y 0.169 0.000 0.836
Pu1 Pu 0.000 0.500 0.000
Te1 Te 0.003 0.000 0.749
Te2 Te 0.164 0.500 0.590
Te3 Te 0.167 0.500 0.077
```

=====

[2]
NdYPu2Te5 | PBE-GGA | optimized geometry

Its uncorrected formation energy is -5.381 eV/f.u.

CIF file:
```
data_NdYPu2Te5
_cell_length_a 5.707
_cell_length_b 5.707
_cell_length_c 11.636
_cell_angle_alpha 90.00
_cell_angle_beta 90.00
_cell_angle_gamma 90.00
_space_group_name_H-M_alt 'P 4/m m m'
_space_group_IT_number 123
_space_group_name_Hall '-P 4 2'
loop_
_atom_site_label
_atom_site_type_symbol
_atom_site_fract_x
_atom_site_fract_y
_atom_site_fract_z
Nd1 Nd 0.000 0.000 0.000
Y1 Y 0.000 0.000 0.500
Pu1 Pu 0.500 0.500 0.175
Te1 Te 0.000 0.000 0.259
Te2 Te 0.000 0.500 0.000
Te3 Te 0.500 0.500 0.500
```

=====

[3]
NdY2Pu3Te6 | PBE-GGA | optimized geometry

Its uncorrected formation energy is -14.927 eV/f.u.

CIF file:
```
data_NdY2Pu3Te6
_cell_length_a 19.318
_cell_length_b 4.404
_cell_length_c 8.873
_cell_angle_alpha 90.00
_cell_angle_beta 103.88
_cell_angle_gamma 90.00
_space_group_name_H-M_alt 'C 1 2/m 1'
_space_group_IT_number 12
loop_
_space_group_symop_operation_xyz
'x,y,z'
'-x,-y,-z'
'-x,y,-z'
'x,-y,z'
'x+1/2,y+1/2,z'
'-x+1/2,-y+1/2,-z'
'-x+1/2,y+1/2,-z'
'x+1/2,-y+1/2,z'
loop_
_atom_site_label
_atom_site_type_symbol
_atom_site_fract_x
_atom_site_fract_y
_atom_site_fract_z
Nd1 Nd 0.000 0.000 0.000
Y1 Y 0.166 0.500 0.331
Pu1 Pu 0.000 0.000 0.500
Pu2 Pu 0.165 0.500 0.832
Te1 Te 0.002 0.500 0.255
Te2 Te 0.168 0.000 0.580
Te3 Te 0.169 0.000 0.087
```

=====

[4]
NdY3Pu2Te6 | PBE-GGA | optimized geometry

Its uncorrected formation energy is -15.376 eV/f.u.

CIF file:
```
data_NdY3Pu2Te6
_cell_length_a 19.259
_cell_length_b 4.389
_cell_length_c 8.858
_cell_angle_alpha 90.00
_cell_angle_beta 103.68
_cell_angle_gamma 90.00
_space_group_name_H-M_alt 'C 1 2/m 1'
_space_group_IT_number 12
loop_
_space_group_symop_operation_xyz
'x,y,z'
'-x,-y,-z'
'-x,y,-z'
'x,-y,z'
'x+1/2,y+1/2,z'
'-x+1/2,-y+1/2,-z'
'-x+1/2,y+1/2,-z'
'x+1/2,-y+1/2,z'
loop_
_atom_site_label
_atom_site_type_symbol
_atom_site_fract_x
_atom_site_fract_y
_atom_site_fract_z
Nd1 Nd 0.000 0.000 0.000
Y1 Y 0.000 0.000 0.500
Y2 Y 0.165 0.500 0.834
Pu1 Pu 0.166 0.500 0.333
Te1 Te 0.001 0.500 0.743
Te2 Te 0.166 0.000 0.586
Te3 Te 0.170 0.000 0.082
```

=====

[5]
Nd3Y3PuTe8 | PBE-GGA | optimized geometry

Its uncorrected formation energy is -20.600 eV/f.u.

CIF file:
```
data_Nd3Y3PuTe8
_cell_length_a 8.8224
_cell_length_b 8.8224
_cell_length_c 21.7404
_cell_angle_alpha 90.00
_cell_angle_beta 90.00
_cell_angle_gamma 120.00
_space_group_name_H-M_alt 'R -3 m'
_space_group_IT_number 166
_space_group_name_Hall '-R 3 2"'
loop_
_atom_site_label
_atom_site_type_symbol
_atom_site_fract_x
_atom_site_fract_y
_atom_site_fract_z
Nd1 Nd 0.0000 0.5000 0.0000
Y1 Y 0.0000 0.5000 0.5000
Pu1 Pu 0.0000 0.0000 0.5000
Te1 Te 0.0000 0.0000 0.2465
Te2 Te 0.0119 0.5060 0.7506
```

=====

[6]
NdPuThTl | PBE-GGA | optimized geometry

The energy relative to the elements is 0.149 eV/atom.

CIF file:
```
data_NdPuThTl
_cell_length_a 7.773
_cell_length_b 7.773
_cell_length_c 7.773
_cell_angle_alpha 90.00
_cell_angle_beta 90.00
_cell_angle_gamma 90.00
_space_group_name_H-M_alt 'F -4 3 m'
_space_group_IT_number 216
_space_group_name_Hall 'F -4 2 3'
loop_
_atom_site_label
_atom_site_type_symbol
_atom_site_fract_x
_atom_site_fract_y
_atom_site_fract_z
Nd1 Nd 0.000 0.000 0.000
Pu1 Pu 0.000 0.000 0.500
Th1 Th 0.250 0.250 0.750
Tl1 Tl 0.250 0.250 0.250
```

=====

Calculated DOS(E_F) in order - 1.129, 3.805, 2.758, 1.960, 1.345, 3.114 states/eV per atom